1.
The following is a DFT calculation (PBE) of crystalline TbSmEr5 at its relaxed geometry.

Results
The value obtained for the formation energy is 1.124 eV per atom. The value obtained for the density of states at the Fermi level is 7.9 states/eV per cell. Its space-group type is Immm (71). The energy above the most stable polymorph in this dataset comes out at 925 meV per atom. As for the crystal system: orthorhombic. The calculation puts the total energy at -3.4710 eV per atom.

Geometry as CIF:
```
data_TbSmEr5
_space_group_name_H-M_alt 'P 1'
_space_group_IT_number 1
_cell_length_a 5.740
_cell_length_b 7.858
_cell_length_c 7.858
_cell_angle_alpha 66.07
_cell_angle_beta 68.58
_cell_angle_gamma 68.58
loop_
_space_group_symop_operation_xyz
'x,y,z'
loop_
_atom_site_label
_atom_site_type_symbol
_atom_site_fract_x
_atom_site_fract_y
_atom_site_fract_z
Tb1 Tb 0.000 0.000 0.000
Er1 Er 0.744 0.256 0.256
Er2 Er 0.000 0.500 0.500
Er3 Er 0.500 0.178 0.822
Er4 Er 0.256 0.744 0.744
Er5 Er 0.500 0.822 0.178
Sm1 Sm 0.500 0.500 0.500
```

---

2.
The following is a DFT calculation (PBE) of crystalline TbSm5Er3 at its relaxed geometry.

Results
The value obtained for the formation energy is 0.492 eV per atom. The value obtained for the density of states at the Fermi level is 26.5 states/eV per cell. Its space-group type is C2/m (12). The energy above the most stable polymorph in this dataset comes out at 313 meV per atom. As for the crystal system: monoclinic. The calculation puts the total energy at -4.1649 eV per atom.

Geometry as CIF:
```
data_TbSm5Er3
_space_group_name_H-M_alt 'P 1'
_space_group_IT_number 1
_cell_length_a 9.544
_cell_length_b 9.544
_cell_length_c 11.670
_cell_angle_alpha 52.88
_cell_angle_beta 52.88
_cell_angle_gamma 74.85
loop_
_space_group_symop_operation_xyz
'x,y,z'
loop_
_atom_site_label
_atom_site_type_symbol
_atom_site_fract_x
_atom_site_fract_y
_atom_site_fract_z
Er1 Er 0.339 0.339 0.646
Er2 Er 0.000 0.000 0.500
Er3 Er 0.000 0.000 0.000
Er4 Er 0.684 0.684 0.824
Er5 Er 0.661 0.661 0.354
Er6 Er 0.316 0.316 0.176
Sm1 Sm 0.491 0.491 0.237
Sm2 Sm 0.345 0.850 0.257
Sm3 Sm 0.255 0.745 0.000
Sm4 Sm 0.745 0.255 0.000
Sm5 Sm 0.850 0.345 0.257
Sm6 Sm 0.655 0.150 0.743
Sm7 Sm 0.179 0.179 0.046
Sm8 Sm 0.150 0.655 0.743
Sm9 Sm 0.821 0.821 0.954
Sm10 Sm 0.509 0.509 0.763
Tb1 Tb 0.845 0.845 0.408
Tb2 Tb 0.155 0.155 0.592
```

---

3.
The following is a DFT calculation (PBE) of crystalline Tb3Sm12Er at its relaxed geometry.

Results
The value obtained for the formation energy is 0.016 eV per atom. The value obtained for the density of states at the Fermi level is 23.3 states/eV per cell. Its space-group type is P4/mmm (123). As for the crystal system: tetragonal. The calculation puts the total energy at -4.6769 eV per atom.

Geometry as CIF:
```
data_Tb3Sm12Er
_space_group_name_H-M_alt 'P 1'
_space_group_IT_number 1
_cell_length_a 5.102
_cell_length_b 5.102
_cell_length_c 20.381
_cell_angle_alpha 90.00
_cell_angle_beta 90.00
_cell_angle_gamma 90.00
loop_
_space_group_symop_operation_xyz
'x,y,z'
loop_
_atom_site_label
_atom_site_type_symbol
_atom_site_fract_x
_atom_site_fract_y
_atom_site_fract_z
Sm1 Sm 0.500 0.000 0.375
Sm2 Sm 0.500 0.000 0.124
Sm3 Sm 0.500 0.000 0.876
Sm4 Sm 0.000 0.500 0.876
Sm5 Sm 0.000 0.500 0.124
Sm6 Sm 0.500 0.000 0.625
Sm7 Sm 0.500 0.500 0.751
Sm8 Sm 0.500 0.500 0.249
Sm9 Sm 0.500 0.500 0.500
Sm10 Sm 0.000 0.500 0.625
Sm11 Sm 0.500 0.500 0.000
Sm12 Sm 0.000 0.500 0.375
Tb1 Tb 0.000 0.000 0.500
Tb2 Tb 0.000 0.000 0.751
Tb3 Tb 0.000 0.000 0.249
Er1 Er 0.000 0.000 0.000
```

---

4.
The following is a DFT calculation (PBE) of crystalline Tb4Sm3Er5 at its relaxed geometry.

Results
The value obtained for the formation energy is 0.017 eV per atom. The value obtained for the density of states at the Fermi level is 15.3 states/eV per cell. Its space-group type is P-1 (2). The energy above the most stable polymorph in this dataset comes out at 0 meV per atom. As for the crystal system: triclinic. The calculation puts the total energy at -4.6072 eV per atom.

Geometry as CIF:
```
data_Tb4Sm3Er5
_space_group_name_H-M_alt 'P 1'
_space_group_IT_number 1
_cell_length_a 7.108
_cell_length_b 11.234
_cell_length_c 12.806
_cell_angle_alpha 151.30
_cell_angle_beta 56.36
_cell_angle_gamma 129.27
loop_
_space_group_symop_operation_xyz
'x,y,z'
loop_
_atom_site_label
_atom_site_type_symbol
_atom_site_fract_x
_atom_site_fract_y
_atom_site_fract_z
Tb1 Tb 0.168 0.335 0.167
Tb2 Tb 0.083 0.165 0.332
Tb3 Tb 0.832 0.665 0.833
Tb4 Tb 0.917 0.835 0.668
Er1 Er 0.250 0.499 0.999
Er2 Er 0.332 0.666 0.834
Er3 Er 0.668 0.334 0.166
Er4 Er 0.750 0.501 0.001
Er5 Er 0.500 0.000 0.500
Sm1 Sm 0.583 0.166 0.333
Sm2 Sm 0.000 0.000 0.500
Sm3 Sm 0.417 0.834 0.667
```

---

no.,density (g cm⁻³)
1,6.52
2,7.03
3,7.66
4,8.40